Os3PbI: optimized geometry, GGA-PBE.

Calculated values
uncorrected formation energy = 2.526 eV per atom
ΔE to the lowest computed polymorph = 0.0 meV per atom
spin magnetization = 0.000 μB/cell
density of states at the Fermi level = 1.27 states/eV/atom
total DFT energy (no corrections) = -26.32 eV/cell

Structure (CIF):
```
data_Os3PbI
_space_group_name_H-M_alt 'P m -3 m'
_space_group_IT_number 221
_space_group_name_Hall '-P 4 2 3'
_cell_length_a 4.882
_cell_length_b 4.882
_cell_length_c 4.882
_cell_angle_alpha 90.00
_cell_angle_beta 90.00
_cell_angle_gamma 90.00
loop_
_atom_site_label
_atom_site_fract_x
_atom_site_fract_y
_atom_site_fract_z
Os1 0.000 0.000 0.500
Pb1 0.500 0.500 0.500
I1 0.000 0.000 0.000
```